1.
{"formula": "KCd2Ag", "functional": "GGA-PBE", "state": "optimized geometry", "lattice": [[3.125, 0.000, 0.000], [0.000, 5.754, 0.000], [0.000, 0.000, 11.720]], "species": ["K", "K", "Cd", "Cd", "Cd", "Cd", "Ag", "Ag"], "frac_coords": [[0.000, 0.000, 0.000], [0.500, 0.500, 0.500], [0.000, 0.500, 0.209], [0.000, 0.500, 0.791], [0.500, 0.000, 0.291], [0.500, 0.000, 0.709], [0.000, 0.000, 0.500], [0.500, 0.500, 0.000]], "e_form_ev_per_atom": 0.022, "de_polymorph_ev_per_atom": 0.0923}

---

2.
{"formula": "NaCa2Hg", "functional": "GGA-PBE", "state": "optimized geometry", "lattice": [[8.960, 0.000, 0.000], [0.000, 8.960, 0.000], [0.000, 0.000, 7.148]], "species": ["Na", "Na", "Na", "Na", "Ca", "Ca", "Ca", "Ca", "Ca", "Ca", "Ca", "Ca", "Hg", "Hg", "Hg", "Hg"], "frac_coords": [[0.000, 0.000, 0.000], [0.000, 0.500, 0.250], [0.500, 0.000, 0.750], [0.500, 0.500, 0.500], [0.208, 0.250, 0.625], [0.250, 0.708, 0.875], [0.250, 0.792, 0.375], [0.292, 0.250, 0.125], [0.708, 0.750, 0.125], [0.750, 0.208, 0.375], [0.750, 0.292, 0.875], [0.792, 0.750, 0.625], [0.000, 0.000, 0.500], [0.000, 0.500, 0.750], [0.500, 0.000, 0.250], [0.500, 0.500, 0.000]], "e_form_ev_per_atom": -0.069}

---

3.
{"formula": "Sr2TlI5", "functional": "GGA-PBE", "state": "optimized geometry", "lattice": [[10.026, 0.000, 0.000], [0.000, 9.139, 0.000], [-0.037, 0.000, 14.533]], "species": ["Sr", "Sr", "Sr", "Sr", "Sr", "Sr", "Sr", "Sr", "Tl", "Tl", "Tl", "Tl", "I", "I", "I", "I", "I", "I", "I", "I", "I", "I", "I", "I", "I", "I", "I", "I", "I", "I", "I", "I"], "frac_coords": [[0.002, 0.024, 0.180], [0.002, 0.476, 0.680], [0.249, 0.075, 0.495], [0.249, 0.425, 0.995], [0.751, 0.575, 0.005], [0.751, 0.925, 0.505], [0.998, 0.524, 0.320], [0.998, 0.976, 0.820], [0.489, 0.014, 0.182], [0.489, 0.486, 0.682], [0.511, 0.514, 0.318], [0.511, 0.986, 0.818], [0.042, 0.662, 0.099], [0.042, 0.838, 0.599], [0.221, 0.042, 0.997], [0.221, 0.458, 0.497], [0.224, 0.663, 0.817], [0.224, 0.837, 0.317], [0.231, 0.192, 0.716], [0.231, 0.308, 0.216], [0.463, 0.662, 0.094], [0.463, 0.838, 0.594], [0.537, 0.162, 0.406], [0.537, 0.338, 0.906], [0.769, 0.692, 0.784], [0.769, 0.808, 0.284], [0.776, 0.163, 0.683], [0.776, 0.337, 0.183], [0.779, 0.542, 0.503], [0.779, 0.958, 0.003], [0.958, 0.162, 0.401], [0.958, 0.338, 0.901]], "de_polymorph_ev_per_atom": 0.0000}

---

4.
{"formula": "CeNi5Ge2", "functional": "GGA-PBE", "state": "optimized geometry", "lattice": [[3.729, 0.000, 0.000], [0.000, 6.609, 0.000], [0.000, 0.000, 9.385]], "species": ["Ce", "Ce", "Ni", "Ni", "Ni", "Ni", "Ni", "Ni", "Ni", "Ni", "Ni", "Ni", "Ge", "Ge", "Ge", "Ge"], "frac_coords": [[0.000, 0.000, 0.000], [0.500, 0.500, 0.500], [0.000, 0.187, 0.363], [0.000, 0.187, 0.637], [0.000, 0.500, 0.000], [0.000, 0.813, 0.363], [0.000, 0.813, 0.637], [0.500, 0.000, 0.500], [0.500, 0.313, 0.137], [0.500, 0.313, 0.863], [0.500, 0.687, 0.137], [0.500, 0.687, 0.863], [0.000, 0.500, 0.246], [0.000, 0.500, 0.754], [0.500, 0.000, 0.254], [0.500, 0.000, 0.746]], "e_form_ev_per_atom": -0.413}

---

5.
{"formula": "Tb2IrBr3", "functional": "GGA-PBE", "state": "optimized geometry", "lattice": [[9.026, -2.033, 0.000], [9.026, 2.033, 0.000], [-7.639, 0.000, 10.044]], "species": ["Tb", "Tb", "Tb", "Tb", "Ir", "Ir", "Br", "Br", "Br", "Br", "Br", "Br"], "frac_coords": [[0.099, 0.099, 0.400], [0.378, 0.378, 0.182], [0.622, 0.622, 0.818], [0.901, 0.901, 0.600], [0.054, 0.054, 0.631], [0.946, 0.946, 0.369], [0.177, 0.177, 0.038], [0.285, 0.285, 0.405], [0.450, 0.450, 0.797], [0.550, 0.550, 0.203], [0.715, 0.715, 0.595], [0.823, 0.823, 0.962]], "energy_ev_per_atom": -5.184}

---

6.
{"formula": "PrHoSiPd", "functional": "GGA-PBE", "state": "optimized geometry", "lattice": [[7.185, 0.000, 0.000], [0.000, 7.185, 0.000], [0.000, 0.000, 7.185]], "species": ["Pr", "Pr", "Pr", "Pr", "Ho", "Ho", "Ho", "Ho", "Si", "Si", "Si", "Si", "Pd", "Pd", "Pd", "Pd"], "frac_coords": [[0.000, 0.000, 0.000], [0.000, 0.500, 0.500], [0.500, 0.000, 0.500], [0.500, 0.500, 0.000], [0.000, 0.000, 0.500], [0.000, 0.500, 0.000], [0.500, 0.000, 0.000], [0.500, 0.500, 0.500], [0.250, 0.250, 0.250], [0.250, 0.750, 0.750], [0.750, 0.250, 0.750], [0.750, 0.750, 0.250], [0.250, 0.250, 0.750], [0.250, 0.750, 0.250], [0.750, 0.250, 0.250], [0.750, 0.750, 0.750]], "energy_ev_per_atom": -5.641}

---

7.
{"formula": "ZnSnHgBi", "functional": "GGA-PBE", "state": "optimized geometry", "lattice": [[7.476, 0.000, 0.000], [0.000, 7.476, 0.000], [0.000, 0.000, 7.476]], "species": ["Zn", "Zn", "Zn", "Zn", "Sn", "Sn", "Sn", "Sn", "Hg", "Hg", "Hg", "Hg", "Bi", "Bi", "Bi", "Bi"], "frac_coords": [[0.000, 0.000, 0.000], [0.000, 0.500, 0.500], [0.500, 0.000, 0.500], [0.500, 0.500, 0.000], [0.000, 0.000, 0.500], [0.000, 0.500, 0.000], [0.500, 0.000, 0.000], [0.500, 0.500, 0.500], [0.250, 0.250, 0.250], [0.250, 0.750, 0.750], [0.750, 0.250, 0.750], [0.750, 0.750, 0.250], [0.250, 0.250, 0.750], [0.250, 0.750, 0.250], [0.750, 0.250, 0.250], [0.750, 0.750, 0.750]], "e_form_ev_per_atom": 0.129}

---

8.
{"formula": "PrGd2F", "functional": "GGA-PBE", "state": "optimized geometry", "lattice": [[3.664, 0.000, 0.000], [-1.832, 3.173, 0.000], [0.000, 0.000, 28.747]], "species": ["Pr", "Pr", "Pr", "Gd", "Gd", "Gd", "Gd", "Gd", "Gd", "F", "F", "F"], "frac_coords": [[0.000, 0.000, 0.000], [0.333, 0.667, 0.667], [0.667, 0.333, 0.333], [0.000, 0.000, 0.118], [0.000, 0.000, 0.882], [0.333, 0.667, 0.548], [0.333, 0.667, 0.785], [0.667, 0.333, 0.215], [0.667, 0.333, 0.452], [0.000, 0.000, 0.500], [0.333, 0.667, 0.167], [0.667, 0.333, 0.833]], "energy_ev_per_atom": -9.629}

---

Volume? In order: 26.341; 35.865; 41.613; 14.455; 30.713; 23.187; 26.118; 27.858 Å³ per atom.
Size of the total moment? In order: 0.00; 0.00; 0.00; 0.30; 0.00; 0.00; 0.00; 14.91 μB/f.u..